Entry 1:
Material: Mg7Hg
Method: DFT, PBE
State: relaxed

Cell lengths 6.3330, 6.3330, 5.0501 Å; angles 90.00, 90.00, 120.00 degrees
Last column: nearest neighbours and their distance in Å.
Space group P-6m2 (No. 187)
Unique sites:
Mg: 0.0000 0.0000 0.0000 (multiplicity 1)  12 Mg 3.11-3.17
Mg: 0.0024 0.5012 0.0000 (multiplicity 3)  2 Hg 3.11, 10 Mg 3.12-3.19
Mg: 0.3312 0.1656 0.5000 (multiplicity 3)  10 Mg 3.11-3.19, 2 Hg 3.17
Hg: 0.3333 0.6667 0.5000 (multiplicity 1)  12 Mg 3.11-3.17

- Uncorrected energy: -1.452 eV per atom


Entry 2:
Material: Y2Tm3ScSb2Os
Method: DFT, PBE
State: relaxed

Cell lengths 4.1572, 13.9308, 8.0684 Å; angles 90.00, 90.00, 90.00 degrees
Last column: nearest neighbours and their distance in Å.
Space group Amm2 (No. 38)
Unique sites:
Y: 0.0000 0.1973 0.0000 (multiplicity 4)  1 Os 3.21, 4 Sb 3.25-3.26, 4 Tm 3.46-3.49
Tm: 0.5000 0.0000 0.0369 (multiplicity 2)  2 Os 2.85, 2 Sb 3.13
Tm: 0.5000 0.1183 0.6805 (multiplicity 4)  2 Os 2.81, 1 Sb 3.10
Sc: 0.0000 0.0000 0.4146 (multiplicity 2)  1 Os 3.07, 4 Sb 3.20, 4 Tm 3.41
Sb: 0.5000 0.1628 0.3040 (multiplicity 4)  3 Tm 3.10-3.21, 2 Sc 3.20, 4 Y 3.25-3.26
Os: 0.0000 0.0000 0.7952 (multiplicity 2)  6 Tm 2.81-2.85, 1 Sc 3.07

- Uncorrected energy: -6.467 eV per atom


Entry 3:
Material: ScZnSi
Method: DFT, PBE
State: relaxed

Cell lengths 6.2522, 6.2522, 6.2522 Å; angles 90.00, 90.00, 90.00 degrees
Last column: nearest neighbours and their distance in Å.
Space group F-43m (No. 216)
Unique sites:
Sc: 0.0000 0.0000 0.0000 (multiplicity 4)  4 Si 2.71, 4 Zn 2.71
Zn: 0.2500 0.2500 0.2500 (multiplicity 4)  4 Sc 2.71
Si: 0.2500 0.2500 0.7500 (multiplicity 4)  4 Sc 2.71

- Uncorrected energy: -4.340 eV per atom


Entry 4:
Material: U2Ni2Sn
Method: DFT, PBE
State: relaxed

Cell lengths 6.8033, 6.8033, 4.0142 Å; angles 90.00, 90.00, 90.00 degrees
Last column: nearest neighbours and their distance in Å.
Space group P4/mbm (No. 127)
Unique sites:
U: 0.1397 0.3603 0.0000 (multiplicity 4)  1 U 2.69, 6 Ni 2.77-2.91
Ni: 0.1417 0.6417 0.5000 (multiplicity 4)  2 Sn 2.62, 1 Ni 2.73, 6 U 2.77-2.91
Sn: 0.0000 0.0000 0.5000 (multiplicity 2)  4 Ni 2.62

- Uncorrected energy: -7.736 eV per atom


> Which value of uncorrected energy does entry 3 give?

-4.340 eV per atom